# DyHo2HgC (PBE-GGA, optimized geometry)
data_DyHo2HgC
_chemical_formula_sum 'Dy1 Ho2 Hg1 C1'
_cell_length_a 4.866
_cell_length_b 4.866
_cell_length_c 4.916
_cell_angle_alpha 90.00
_cell_angle_beta 90.00
_cell_angle_gamma 90.00
_symmetry_space_group_name_H-M 'P 4/m m m'
_symmetry_Int_Tables_number 123
_symmetry_space_group_name_Hall '-P 4 2'
loop_
_atom_site_label
_atom_site_type_symbol
_atom_site_fract_x
_atom_site_fract_y
_atom_site_fract_z
Dy1 Dy 0.000 0.000 0.000
Ho1 Ho 0.000 0.500 0.500
Hg1 Hg 0.500 0.500 0.000
C1 C 0.000 0.000 0.500
# total DFT energy (no corrections) = -5.036 eV per atom
# energy relative to the elements = -380 meV per atom